CdTe2Mo PBE-GGA relaxed; SG = No. 166; formation energy from raw total energies = 0.7748 eV/atom; electronic total energy = -14.930 eV/cell; density = 5.5 Mg/m³
1.0
2.492 0.000 8.704
-1.246 2.158 8.704
-1.246 -2.158 8.704
Mo Te Cd
1 2 1
Direct
0.000 0.000 0.000
0.898 0.898 0.898
0.102 0.102 0.102
0.500 0.500 0.500

RbPaPtO4 PBE-GGA relaxed; SG = No. 74; formation energy from raw total energies = -2.1312 eV/atom; electronic total energy = -102.510 eV/cell; density = 7.5 Mg/m³
1.0
6.164 0.000 0.000
-3.082 6.906 0.152
0.000 -3.594 5.910
Rb Pa Pt O
2 2 2 8
Direct
0.817 0.634 0.067
0.183 0.366 0.933
0.500 0.000 0.500
0.500 0.000 0.000
0.500 0.500 0.500
0.000 0.500 0.500
0.690 0.379 0.618
0.270 0.950 0.225
0.680 0.950 0.225
0.690 0.379 0.261
0.310 0.621 0.739
0.730 0.050 0.775
0.320 0.050 0.775
0.310 0.621 0.382

PrTl3Sb2Se6 PBE-GGA relaxed; SG = No. 12; formation energy from raw total energies = -0.6917 eV/atom; electronic total energy = -49.330 eV/cell; density = 6.7 Mg/m³
1.0
-2.731 -6.860 -0.569
4.778 2.507 -5.073
5.146 -1.217 6.048
Pr Tl Sb Se
1 3 2 6
Direct
0.000 0.000 0.000
0.164 0.836 0.500
0.836 0.164 0.500
0.500 0.500 0.500
0.334 0.666 0.000
0.666 0.334 0.000
0.929 0.587 0.789
0.727 0.727 0.207
0.071 0.413 0.211
0.587 0.929 0.789
0.273 0.273 0.793
0.413 0.071 0.211

Cs2NaYBr6 PBE-GGA relaxed; SG = No. 225; formation energy from raw total energies = -1.8333 eV/atom; electronic total energy = -37.860 eV/cell; density = 3.7 Mg/m³
1.0
8.134 0.000 0.000
4.067 7.044 0.000
4.067 2.348 6.641
Cs Na Y Br
2 1 1 6
Direct
0.750 0.750 0.750
0.250 0.250 0.250
0.500 0.500 0.500
0.000 0.000 0.000
0.756 0.244 0.244
0.244 0.244 0.756
0.244 0.756 0.756
0.244 0.756 0.244
0.756 0.244 0.756
0.756 0.756 0.244

La3Ge2Os PBE-GGA relaxed; SG = No. 62; electronic total energy = -156.010 eV/cell; density = 7.8 Mg/m³; calculated formation energy = -625.9 meV per atom
1.0
4.396 0.000 0.000
0.000 11.741 0.000
0.000 0.000 12.426
La Ge Os
12 8 4
Direct
0.250 0.375 0.058
0.750 0.625 0.942
0.750 0.875 0.442
0.250 0.125 0.558
0.250 0.705 0.223
0.750 0.295 0.777
0.750 0.205 0.277
0.250 0.795 0.723
0.250 0.446 0.383
0.750 0.554 0.617
0.750 0.946 0.117
0.250 0.054 0.883
0.250 0.690 0.480
0.750 0.310 0.520
0.750 0.190 0.020
0.250 0.810 0.980
0.250 0.009 0.301
0.750 0.991 0.699
0.750 0.509 0.199
0.250 0.491 0.801
0.250 0.136 0.126
0.750 0.864 0.874
0.750 0.636 0.374
0.250 0.364 0.626

PmY2Pb PBE-GGA relaxed; SG = No. 166; electronic total energy = -21.208 eV/cell; density = 6.6 Mg/m³; calculated formation energy = 44.7 meV per atom; ΔE to the lowest computed polymorph = 344 meV per atom
1.0
3.571 0.000 0.000
1.785 3.093 0.000
1.785 1.031 12.102
Pb Y Pm
1 2 1
Direct
0.000 0.000 0.000
0.087 0.087 0.738
0.913 0.913 0.262
0.500 0.500 0.500

Which value of density does entry 3 give?
6.7 Mg/m³

Among the records above, which one has the highest electronic total energy?
CdTe2Mo

Which value of density does entry 6 give?
6.6 Mg/m³

Repeat the fourth record exactly.
Cs2NaYBr6 PBE-GGA relaxed; SG = No. 225; formation energy from raw total energies = -1.8333 eV/atom; electronic total energy = -37.860 eV/cell; density = 3.7 Mg/m³
1.0
8.134 0.000 0.000
4.067 7.044 0.000
4.067 2.348 6.641
Cs Na Y Br
2 1 1 6
Direct
0.750 0.750 0.750
0.250 0.250 0.250
0.500 0.500 0.500
0.000 0.000 0.000
0.756 0.244 0.244
0.244 0.244 0.756
0.244 0.756 0.756
0.244 0.756 0.244
0.756 0.244 0.756
0.756 0.756 0.244